Density functional theory data (PBE) for an optimized crystal structure of WCCl3.

Lattice parameters (Å, degrees): 4.7609 4.7609 4.7609 90.00 90.00 90.00
Last column: nearest neighbours and their distance in Å.
Space group Pm-3m (No. 221)
Asymmetric unit:
W1 0.0000 0.0000 0.0000  6 Cl 2.38
C1 0.5000 0.5000 0.5000  12 Cl 3.37
Cl1 0.0000 0.0000 0.5000  2 W 2.38

Summary:
ΔE to the lowest computed polymorph (kcal/mol of atoms): 0.000
Formation energy (no corrections) (eV per atom): 1.293